1.
Li2Sb3Au2 | PBE-GGA | optimized geometry

Summary:
E_form (uncorrected) ... -0.228 eV per atom
Density of states at the Fermi level ... 3.4 states/eV/f.u.

a b c (Å): 10.5854 4.0346 8.1573
angles (deg): 90.00 101.66 90.00
Space group C2/m (No. 12)
One atom of each set of equivalent atoms:
Li  0.2243  0.0000  0.1423 (multiplicity 4)
Sb  0.0000  0.5000  0.0000 (multiplicity 2)
Sb  0.1557  0.0000  0.4985 (multiplicity 4)
Au  0.0652  0.0000  0.7874 (multiplicity 4)

---

2.
Li2SbAu | PBE-GGA | optimized geometry

Summary:
E_form (uncorrected) ... -0.458 eV per atom
Density of states at the Fermi level ... 1.3 states/eV/f.u.

a b c (Å): 3.0074 4.1292 5.8656
angles (deg): 90.00 90.58 90.00
Space group P2/m (No. 10)
One atom of each set of equivalent atoms:
Li  0.0049  0.0000  0.2627 (multiplicity 2)
Sb  0.5000  0.5000  0.0000 (multiplicity 1)
Au  0.5000  0.5000  0.5000 (multiplicity 1)

---

3.
Li2SbAu5 | PBE-GGA | optimized geometry

Summary:
E_form (uncorrected) ... -0.334 eV per atom
Density of states at the Fermi level ... 1.3 states/eV/f.u.

a b c (Å): 6.0179 11.5195 4.1235
angles (deg): 90.00 90.00 90.00
Space group Pbam (No. 55)
One atom of each set of equivalent atoms:
Li  0.2240  0.1323  0.0000 (multiplicity 4)
Sb  0.0000  0.5000  0.5000 (multiplicity 2)
Au  0.0000  0.0000  0.5000 (multiplicity 2)
Au  0.0142  0.7495  0.5000 (multiplicity 4)
Au  0.2487  0.8743  0.0000 (multiplicity 4)

---

4.
LiSb2Au | PBE-GGA | optimized geometry

Summary:
E_form (uncorrected) ... -0.114 eV per atom
Density of states at the Fermi level ... 2.0 states/eV/f.u.

a b c (Å): 3.5323 3.5323 25.4847
angles (deg): 90.00 90.00 120.00
Space group R-3m (No. 166, hexagonal axes)
One atom of each set of equivalent atoms:
Li  0.0000  0.0000  0.0000 (multiplicity 3)
Sb  0.0000  0.0000  0.2468 (multiplicity 6)
Au  0.0000  0.0000  0.5000 (multiplicity 3)

---

5.
LiSb2Au | PBE-GGA | optimized geometry

Summary:
E_form (uncorrected) ... -0.053 eV per atom
Density of states at the Fermi level ... 1.4 states/eV/f.u.

a b c (Å): 3.2607 3.2607 8.2998
angles (deg): 90.00 90.00 90.00
Space group P4/mmm (No. 123)
One atom of each set of equivalent atoms:
Li  0.0000  0.0000  0.0000 (multiplicity 1)
Sb  0.5000  0.5000  0.2434 (multiplicity 2)
Au  0.0000  0.0000  0.5000 (multiplicity 1)

---

6.
Li2SbAu4 | PBE-GGA | optimized geometry

Summary:
E_form (uncorrected) ... -0.305 eV per atom
Density of states at the Fermi level ... 2.6 states/eV/f.u.

a b c (Å): 5.8052 7.8830 6.5146
angles (deg): 90.00 115.86 90.00
Space group C2/m (No. 12)
One atom of each set of equivalent atoms:
Li  0.2432  0.0000  0.4832 (multiplicity 4)
Sb  0.0000  0.5000  0.0000 (multiplicity 2)
Au  0.1207  0.2484  0.7393 (multiplicity 8)